# 1
## Li7Tl4Bi (GGA-PBE)

Data for Li7Tl4Bi after structural relaxation.

Unit cell a=7.2975 b=7.2975 c=8.2833 alpha=113.89 beta=113.89 gamma=42.38
Closest atoms and distances in Å follow each position.
Positions (direct):
Li 0.0000 0.0000 0.0000  2 Bi 2.64
Li 0.2829 0.2829 0.7597  4 Tl 2.70-2.95, 1 Bi 2.75, 2 Li 2.88-2.90
Li 0.3139 0.3139 0.1293  1 Li 2.90, 3 Tl 3.06-3.14, 1 Bi 3.15
Li 0.4255 0.4255 0.5855  2 Li 2.88-2.93, 5 Tl 2.98-3.20, 1 Bi 3.13
Li 0.5745 0.5745 0.4145  2 Li 2.88-2.93, 5 Tl 2.98-3.20, 1 Bi 3.13
Li 0.6861 0.6861 0.8707  1 Li 2.90, 3 Tl 3.06-3.14, 1 Bi 3.15
Li 0.7171 0.7171 0.2403  4 Tl 2.70-2.95, 1 Bi 2.75, 2 Li 2.88-2.90
Tl 0.0728 0.0728 0.7072  2 Li 2.70-2.99
Tl 0.1847 0.1847 0.3640  8 Li 2.93-3.15
Tl 0.8153 0.8153 0.6360  8 Li 2.93-3.15
Tl 0.9272 0.9272 0.2928  2 Li 2.70-2.99
Bi 0.5000 0.5000 0.0000  4 Li 2.64-2.75

Calculated values
Space-group type: No. 12
E_form (meV/atom): -174

=====

# 2
## Li3Tl2Bi2 (GGA-PBE)

Data for Li3Tl2Bi2 after structural relaxation.

Unit cell a=11.3327 b=4.6764 c=7.5041 alpha=90.00 beta=110.66 gamma=90.00
Closest atoms and distances in Å follow each position.
Positions (direct):
Li 0.0000 0.0000 0.0000  4 Bi 2.96, 2 Li 3.05
Li 0.1439 0.0000 0.4292  3 Bi 2.97, 3 Li 3.05-3.25, 3 Tl 3.23-3.30
Li 0.3561 0.5000 0.5708  3 Bi 2.97, 3 Li 3.05-3.25, 3 Tl 3.23-3.30
Li 0.5000 0.5000 0.0000  4 Bi 2.96, 2 Li 3.05
Li 0.6439 0.5000 0.4292  3 Bi 2.97, 3 Li 3.05-3.25, 3 Tl 3.23-3.30
Li 0.8561 0.0000 0.5708  3 Bi 2.97, 3 Li 3.05-3.25, 3 Tl 3.23-3.30
Tl 0.1244 0.5000 0.7272  3 Li 3.23-3.30, 4 Bi 3.33-3.42, 1 Tl 3.58
Tl 0.3756 0.0000 0.2728  3 Li 3.23-3.30, 4 Bi 3.33-3.42, 1 Tl 3.58
Tl 0.6244 0.0000 0.7272  3 Li 3.23-3.30, 4 Bi 3.33-3.42, 1 Tl 3.58
Tl 0.8756 0.5000 0.2728  3 Li 3.23-3.30, 4 Bi 3.33-3.42, 1 Tl 3.58
Bi 0.1535 0.5000 0.1902  5 Li 2.96-2.97
Bi 0.3465 0.0000 0.8098  5 Li 2.96-2.97
Bi 0.6535 0.0000 0.1902  5 Li 2.96-2.97
Bi 0.8465 0.5000 0.8098  5 Li 2.96-2.97

Calculated values
Space-group type: No. 12
E_form (meV/atom): -217
Offset from the most stable computed form (eV/f.u.): 0.00

=====

# 3
## Li2TlBi (GGA-PBE)

Data for Li2TlBi after structural relaxation.

Unit cell a=5.9836 b=3.4441 c=9.4978 alpha=90.00 beta=101.90 gamma=90.00
Closest atoms and distances in Å follow each position.
Positions (direct):
Li 0.0000 0.0000 0.0000  3 Bi 3.03-3.04, 3 Tl 3.07
Li 0.1685 0.0000 0.5049  3 Bi 3.05-3.06, 3 Tl 3.08-3.09
Li 0.5000 0.5000 0.0000  3 Bi 3.03-3.04, 3 Tl 3.07
Li 0.6685 0.5000 0.5049  3 Bi 3.05-3.06, 3 Tl 3.08-3.09
Tl 0.2502 0.5000 0.2519  6 Li 3.07-3.09
Tl 0.7502 0.0000 0.2519  6 Li 3.07-3.09
Bi 0.0851 0.5000 0.7536  6 Li 3.03-3.06
Bi 0.5851 0.0000 0.7536  6 Li 3.03-3.06

Calculated values
Space-group type: No. 8
E_form (meV/atom): -240
Offset from the most stable computed form (eV/f.u.): 0.53

=====

# 4
## LiTl6Bi2 (GGA-PBE)

Data for LiTl6Bi2 after structural relaxation.

Unit cell a=8.9247 b=8.9247 c=4.6985 alpha=97.34 beta=97.34 gamma=128.80
Closest atoms and distances in Å follow each position.
Positions (direct):
Li 0.0000 0.0000 0.0000  8 Tl 3.31-3.52, 4 Bi 3.33
Tl 0.1616 0.4843 0.1750  3 Bi 3.29-3.54, 6 Tl 3.32-3.66, 1 Li 3.52
Tl 0.3270 0.3270 0.6753  2 Li 3.31-3.42, 2 Bi 3.37, 8 Tl 3.41-3.66
Tl 0.4843 0.1616 0.1750  3 Bi 3.29-3.54, 6 Tl 3.32-3.66, 1 Li 3.52
Tl 0.5157 0.8384 0.8250  3 Bi 3.29-3.54, 6 Tl 3.32-3.66, 1 Li 3.52
Tl 0.6730 0.6730 0.3247  2 Li 3.31-3.42, 2 Bi 3.37, 8 Tl 3.41-3.66
Tl 0.8384 0.5157 0.8250  3 Bi 3.29-3.54, 6 Tl 3.32-3.66, 1 Li 3.52
Bi 0.1465 0.8535 0.5000  8 Tl 3.29-3.54, 2 Li 3.33
Bi 0.8535 0.1465 0.5000  8 Tl 3.29-3.54, 2 Li 3.33

Calculated values
Space-group type: No. 12
E_form (meV/atom): -42
Offset from the most stable computed form (eV/f.u.): 0.00

=====

# 5
## Li2TlBi2 (GGA-PBE)

Data for Li2TlBi2 after structural relaxation.

Unit cell a=4.9683 b=7.7148 c=7.4942 alpha=90.00 beta=90.00 gamma=90.00
Closest atoms and distances in Å follow each position.
Positions (direct):
Li 0.0000 0.1693 0.0000  3 Li 2.61-2.78
Li 0.0000 0.8307 0.0000  3 Li 2.61-2.78
Li 0.5000 0.3307 0.0000  3 Li 2.61-2.78
Li 0.5000 0.6693 0.0000  3 Li 2.61-2.78
Tl 0.0000 0.0000 0.5000  4 Bi 3.33
Tl 0.5000 0.5000 0.5000  4 Bi 3.33
Bi 0.0000 0.5000 0.2048  6 Li 2.98-3.20, 1 Bi 3.07, 2 Tl 3.33
Bi 0.0000 0.5000 0.7952  6 Li 2.98-3.20, 1 Bi 3.07, 2 Tl 3.33
Bi 0.5000 0.0000 0.2048  6 Li 2.98-3.20, 1 Bi 3.07, 2 Tl 3.33
Bi 0.5000 0.0000 0.7952  6 Li 2.98-3.20, 1 Bi 3.07, 2 Tl 3.33

Calculated values
Space-group type: No. 65
E_form (meV/atom): -184
Offset from the most stable computed form (eV/f.u.): 0.41

=====

# 6
## LiTlBi (GGA-PBE)

Data for LiTlBi after structural relaxation.

Unit cell a=3.4641 b=4.6289 c=10.1217 alpha=90.00 beta=98.30 gamma=90.00
Closest atoms and distances in Å follow each position.
Positions (direct):
Li 0.0000 0.0000 0.0000  2 Li 2.82, 6 Bi 3.06-3.16, 1 Tl 3.10
Li 0.0626 0.5000 0.1612  2 Li 2.82, 6 Bi 3.06-3.16, 1 Tl 3.10
Tl 0.2242 0.5000 0.4705  1 Li 3.10, 2 Tl 3.46
Tl 0.8344 0.0000 0.6908  1 Li 3.10, 2 Tl 3.46
Bi 0.4551 0.5000 0.8986  6 Li 3.06-3.16
Bi 0.6066 0.0000 0.2627  6 Li 3.06-3.16

Calculated values
Space-group type: No. 6
E_form (meV/atom): -225
Offset from the most stable computed form (eV/f.u.): 0.00

=====

# 7
## LiTlBi (GGA-PBE)

Data for LiTlBi after structural relaxation.

Unit cell a=5.1983 b=5.1983 c=3.5575 alpha=90.00 beta=90.00 gamma=120.00
Closest atoms and distances in Å follow each position.
Positions (direct):
Li 0.0000 0.0000 0.0000  3 Bi 3.07, 3 Tl 3.31
Tl 0.6667 0.3333 0.6069  6 Li 3.31-3.70, 6 Bi 3.36-3.63, 2 Tl 3.56
Bi 0.3333 0.6667 0.1799  3 Li 3.07, 3 Tl 3.36

Calculated values
Space-group type: No. 156
E_form (meV/atom): -184
Offset from the most stable computed form (eV/f.u.): 0.12

=====

# 8
## Li2TlBi (GGA-PBE)

Data for Li2TlBi after structural relaxation.

Unit cell a=5.0898 b=5.0898 c=3.5218 alpha=90.00 beta=90.00 gamma=90.00
Closest atoms and distances in Å follow each position.
Positions (direct):
Li 0.0000 0.5000 0.0000  4 Tl 3.09, 4 Bi 3.09
Li 0.5000 0.0000 0.0000  4 Tl 3.09, 4 Bi 3.09
Tl 0.0000 0.0000 0.5000  8 Li 3.09
Bi 0.5000 0.5000 0.5000  8 Li 3.09

Calculated values
Space-group type: No. 123
E_form (meV/atom): -333
Offset from the most stable computed form (eV/f.u.): 0.16

=====

# 9
## Li2TlBi (GGA-PBE)

Data for Li2TlBi after structural relaxation.

Unit cell a=7.1693 b=7.1693 c=7.1693 alpha=90.00 beta=90.00 gamma=90.00
Closest atoms and distances in Å follow each position.
Positions (direct):
Li 0.2500 0.2500 0.2500  4 Tl 3.10, 4 Bi 3.10
Li 0.2500 0.2500 0.7500  4 Tl 3.10, 4 Bi 3.10
Li 0.2500 0.7500 0.2500  4 Tl 3.10, 4 Bi 3.10
Li 0.2500 0.7500 0.7500  4 Tl 3.10, 4 Bi 3.10
Li 0.7500 0.2500 0.2500  4 Tl 3.10, 4 Bi 3.10
Li 0.7500 0.2500 0.7500  4 Tl 3.10, 4 Bi 3.10
Li 0.7500 0.7500 0.2500  4 Tl 3.10, 4 Bi 3.10
Li 0.7500 0.7500 0.7500  4 Tl 3.10, 4 Bi 3.10
Tl 0.0000 0.0000 0.0000  8 Li 3.10
Tl 0.0000 0.5000 0.5000  8 Li 3.10
Tl 0.5000 0.0000 0.5000  8 Li 3.10
Tl 0.5000 0.5000 0.0000  8 Li 3.10
Bi 0.0000 0.0000 0.5000  8 Li 3.10
Bi 0.0000 0.5000 0.0000  8 Li 3.10
Bi 0.5000 0.0000 0.0000  8 Li 3.10
Bi 0.5000 0.5000 0.5000  8 Li 3.10

Calculated values
Space-group type: No. 225
E_form (meV/atom): -373
Offset from the most stable computed form (eV/f.u.): 0.00

=====

# 10
## LiTlBi2 (GGA-PBE)

Data for LiTlBi2 after structural relaxation.

Unit cell a=3.4584 b=3.4584 c=9.3090 alpha=90.00 beta=90.00 gamma=90.00
Closest atoms and distances in Å follow each position.
Positions (direct):
Li 0.0000 0.0000 0.0000  8 Bi 3.12, 4 Li 3.46
Tl 0.0000 0.0000 0.5000  4 Tl 3.46, 8 Bi 3.66
Bi 0.5000 0.5000 0.2075  4 Li 3.12, 4 Bi 3.46
Bi 0.5000 0.5000 0.7925  4 Li 3.12, 4 Bi 3.46

Calculated values
Space-group type: No. 123
E_form (meV/atom): -191

=====

# 11
## LiTlBi2 (GGA-PBE)

Data for LiTlBi2 after structural relaxation.

Unit cell a=5.1392 b=5.1392 c=15.8383 alpha=90.00 beta=90.00 gamma=120.00
Closest atoms and distances in Å follow each position.
Positions (direct):
Li 0.0000 0.0000 0.0000  1 Tl 2.98, 6 Bi 3.04-3.25
Li 0.3333 0.6667 0.6667  1 Tl 2.98, 6 Bi 3.04-3.25
Li 0.6667 0.3333 0.3333  1 Tl 2.98, 6 Bi 3.04-3.25
Tl 0.0000 0.0000 0.8116  1 Li 2.98
Tl 0.3333 0.6667 0.4783  1 Li 2.98
Tl 0.6667 0.3333 0.1450  1 Li 2.98
Bi 0.0000 0.0000 0.3738  3 Li 3.04, 1 Bi 3.31, 3 Tl 3.40
Bi 0.0000 0.0000 0.5828  3 Li 3.25, 4 Bi 3.31-3.56, 4 Tl 3.40-3.63
Bi 0.3333 0.6667 0.0404  3 Li 3.04, 1 Bi 3.31, 3 Tl 3.40
Bi 0.3333 0.6667 0.2494  3 Li 3.25, 4 Bi 3.31-3.56, 4 Tl 3.40-3.63
Bi 0.6667 0.3333 0.7071  3 Li 3.04, 1 Bi 3.31, 3 Tl 3.40
Bi 0.6667 0.3333 0.9161  3 Li 3.25, 4 Bi 3.31-3.56, 4 Tl 3.40-3.63

Calculated values
Space-group type: No. 160
E_form (meV/atom): -83

=====

# 12
## LiTlBi2 (GGA-PBE)

Data for LiTlBi2 after structural relaxation.

Unit cell a=4.9861 b=4.9861 c=16.7178 alpha=90.00 beta=90.00 gamma=120.00
Closest atoms and distances in Å follow each position.
Positions (direct):
Li 0.0000 0.0000 0.0000  6 Bi 3.03
Li 0.3333 0.6667 0.6667  6 Bi 3.03
Li 0.6667 0.3333 0.3333  6 Bi 3.03
Tl 0.0000 0.0000 0.5000  8 Bi 3.42-3.72
Tl 0.3333 0.6667 0.1667  8 Bi 3.42-3.72
Tl 0.6667 0.3333 0.8333  8 Bi 3.42-3.72
Bi 0.0000 0.0000 0.2772  3 Li 3.03
Bi 0.0000 0.0000 0.7228  3 Li 3.03
Bi 0.3333 0.6667 0.3894  3 Li 3.03
Bi 0.3333 0.6667 0.9439  3 Li 3.03
Bi 0.6667 0.3333 0.0561  3 Li 3.03
Bi 0.6667 0.3333 0.6106  3 Li 3.03

Calculated values
Space-group type: No. 166
E_form (meV/atom): -54